# 1
First-principles (PBE-GGA) data for a geometry-optimized ZrCoSi2 structure, as listed in Alexandria.

Summary:
Its uncorrected formation energy is -0.075 eV/atom. As for the space group: F-43m. The value obtained for the density of states at the Fermi level is 13.8 states/eV/cell. As for the total moment: 0.00 μB per formula unit. The value obtained for the total energy is -6.7001 eV per atom.

abc: 6.2028 6.2028 6.2028
angles: 90.00 90.00 90.00
Sites, in units of the cell vectors:
Zr1 0.0000 0.0000 0.0000
Zr2 0.0000 0.5000 0.5000
Zr3 0.5000 0.0000 0.5000
Zr4 0.5000 0.5000 0.0000
Co1 0.2500 0.2500 0.7500
Co2 0.2500 0.7500 0.2500
Co3 0.7500 0.2500 0.2500
Co4 0.7500 0.7500 0.7500
Si1 0.0000 0.0000 0.5000
Si2 0.0000 0.5000 0.0000
Si3 0.2500 0.2500 0.2500
Si4 0.2500 0.7500 0.7500
Si5 0.5000 0.0000 0.0000
Si6 0.5000 0.5000 0.5000
Si7 0.7500 0.2500 0.7500
Si8 0.7500 0.7500 0.2500

# 2
First-principles (PBE-GGA) data for a geometry-optimized ZrCoSi2 structure, as listed in Alexandria.

Summary:
Its uncorrected formation energy is -0.518 eV/atom. As for the space group: Pmmm. The value obtained for the density of states at the Fermi level is 2.2 states/eV/cell. As for the total moment: 0.06 μB per formula unit. The value obtained for the total energy is -7.1427 eV per atom.

abc: 2.9776 3.9091 5.1799
angles: 90.00 90.00 90.00
Sites, in units of the cell vectors:
Zr1 0.0000 0.0000 0.0000
Co1 0.5000 0.0000 0.5000
Si1 0.5000 0.5000 0.2646
Si2 0.5000 0.5000 0.7354

# 3
First-principles (PBE-GGA) data for a geometry-optimized ZrCo2Si structure, as listed in Alexandria.

Summary:
Its uncorrected formation energy is -0.512 eV/atom. As for the space group: P4/nmm. The value obtained for the density of states at the Fermi level is 5.8 states/eV/cell. As for the total moment: 0.94 μB per formula unit. The value obtained for the total energy is -7.5575 eV per atom.

abc: 3.6226 3.6226 8.6993
angles: 90.00 90.00 90.00
Sites, in units of the cell vectors:
Zr1 0.2500 0.2500 0.2258
Zr2 0.7500 0.7500 0.7742
Co1 0.2500 0.2500 0.9266
Co2 0.2500 0.7500 0.5000
Co3 0.7500 0.2500 0.5000
Co4 0.7500 0.7500 0.0734
Si1 0.2500 0.2500 0.6550
Si2 0.7500 0.7500 0.3450

# 4
First-principles (PBE-GGA) data for a geometry-optimized ZrCo2Si structure, as listed in Alexandria.

Summary:
Its uncorrected formation energy is 0.127 eV/atom. As for the space group: R3m. The value obtained for the density of states at the Fermi level is 13.8 states/eV/cell. As for the total moment: 2.62 μB per formula unit. The value obtained for the total energy is -6.9183 eV per atom.

abc: 2.8375 2.8375 24.9395
angles: 90.00 90.00 120.00
Sites, in units of the cell vectors:
Zr1 0.0000 0.0000 0.0000
Zr2 0.3333 0.6667 0.6667
Zr3 0.6667 0.3333 0.3333
Co1 0.0000 0.0000 0.2396
Co2 0.0000 0.0000 0.4998
Co3 0.3333 0.6667 0.1665
Co4 0.3333 0.6667 0.9063
Co5 0.6667 0.3333 0.5729
Co6 0.6667 0.3333 0.8332
Si1 0.0000 0.0000 0.7644
Si2 0.3333 0.6667 0.4310
Si3 0.6667 0.3333 0.0977

# 5
First-principles (PBE-GGA) data for a geometry-optimized ZrCoSi2 structure, as listed in Alexandria.

Summary:
Its uncorrected formation energy is -0.410 eV/atom. As for the space group: P4mm. The value obtained for the density of states at the Fermi level is 2.6 states/eV/cell. As for the total moment: 0.00 μB per formula unit. The value obtained for the total energy is -7.0355 eV per atom.

abc: 3.0927 3.0927 6.0847
angles: 90.00 90.00 90.00
Sites, in units of the cell vectors:
Zr1 0.0000 0.0000 0.0000
Co1 0.5000 0.5000 0.3323
Si1 0.0000 0.0000 0.4803
Si2 0.5000 0.5000 0.7157

# 6
First-principles (PBE-GGA) data for a geometry-optimized ZrCo2Si2 structure, as listed in Alexandria.

Summary:
Its uncorrected formation energy is -0.415 eV/atom. The distance to the lowest polymorph of the same formula comes out at 392.7 meV/atom. As for the space group: C2/m. The value obtained for the density of states at the Fermi level is 8.5 states/eV/cell. As for the total moment: 0.00 μB per formula unit. The value obtained for the total energy is -7.1360 eV per atom.

abc: 5.6056 5.6056 8.0161
angles: 115.36 115.36 38.97
Sites, in units of the cell vectors:
Zr1 0.2068 0.2068 0.3245
Zr2 0.7932 0.7932 0.6755
Co1 0.0755 0.0755 0.9169
Co2 0.1071 0.1071 0.6270
Co3 0.8929 0.8929 0.3730
Co4 0.9245 0.9245 0.0831
Si1 0.3018 0.3018 0.9374
Si2 0.4892 0.4892 0.6634
Si3 0.5108 0.5108 0.3366
Si4 0.6982 0.6982 0.0626

# 7
First-principles (PBE-GGA) data for a geometry-optimized ZrCo2Si structure, as listed in Alexandria.

Summary:
Its uncorrected formation energy is -0.353 eV/atom. As for the space group: Cm. The value obtained for the density of states at the Fermi level is 7.8 states/eV/cell. As for the total moment: 0.00 μB per formula unit. The value obtained for the total energy is -7.3985 eV per atom.

abc: 8.5770 3.2948 4.1165
angles: 90.00 107.59 90.00
Sites, in units of the cell vectors:
Zr1 0.0000 0.0000 0.0000
Zr2 0.5000 0.5000 0.0000
Co1 0.0243 0.5000 0.5396
Co2 0.2518 0.5000 0.2071
Co3 0.5243 0.0000 0.5396
Co4 0.7518 0.0000 0.2071
Si1 0.2394 0.0000 0.6283
Si2 0.7394 0.5000 0.6283

# 8
First-principles (PBE-GGA) data for a geometry-optimized ZrCo2Si2 structure, as listed in Alexandria.

Summary:
Its uncorrected formation energy is -0.808 eV/atom. The distance to the lowest polymorph of the same formula comes out at 0.0 meV/atom. As for the space group: I4/mmm. The value obtained for the density of states at the Fermi level is 5.4 states/eV/cell. As for the total moment: 0.00 μB per formula unit. The value obtained for the total energy is -7.5287 eV per atom.

abc: 3.7481 3.7481 9.6629
angles: 90.00 90.00 90.00
Sites, in units of the cell vectors:
Zr1 0.0000 0.0000 0.0000
Zr2 0.5000 0.5000 0.5000
Co1 0.0000 0.5000 0.2500
Co2 0.0000 0.5000 0.7500
Co3 0.5000 0.0000 0.2500
Co4 0.5000 0.0000 0.7500
Si1 0.0000 0.0000 0.3779
Si2 0.0000 0.0000 0.6221
Si3 0.5000 0.5000 0.1221
Si4 0.5000 0.5000 0.8779

# 9
First-principles (PBE-GGA) data for a geometry-optimized ZrCo2Si structure, as listed in Alexandria.

Summary:
Its uncorrected formation energy is -0.054 eV/atom. As for the space group: I-42d. The value obtained for the density of states at the Fermi level is 11.0 states/eV/cell. As for the total moment: 1.75 μB per formula unit. The value obtained for the total energy is -7.0995 eV per atom.

abc: 3.9194 3.9194 16.1699
angles: 90.00 90.00 90.00
Sites, in units of the cell vectors:
Zr1 0.0000 0.0000 0.0000
Zr2 0.0000 0.5000 0.2500
Zr3 0.5000 0.0000 0.7500
Zr4 0.5000 0.5000 0.5000
Co1 0.1599 0.2500 0.6250
Co2 0.2500 0.6599 0.8750
Co3 0.2500 0.8401 0.3750
Co4 0.3401 0.2500 0.1250
Co5 0.6599 0.7500 0.1250
Co6 0.7500 0.1599 0.3750
Co7 0.7500 0.3401 0.8750
Co8 0.8401 0.7500 0.6250
Si1 0.0000 0.0000 0.5000
Si2 0.0000 0.5000 0.7500
Si3 0.5000 0.0000 0.2500
Si4 0.5000 0.5000 0.0000

# 10
First-principles (PBE-GGA) data for a geometry-optimized ZrCoSi2 structure, as listed in Alexandria.

Summary:
Its uncorrected formation energy is -0.175 eV/atom. As for the space group: I4/mmm. The value obtained for the density of states at the Fermi level is 8.2 states/eV/cell. As for the total moment: 1.93 μB per formula unit. The value obtained for the total energy is -6.8005 eV per atom.

abc: 3.8030 3.8030 8.3043
angles: 90.00 90.00 90.00
Sites, in units of the cell vectors:
Zr1 0.0000 0.0000 0.0000
Zr2 0.5000 0.5000 0.5000
Co1 0.0000 0.0000 0.5000
Co2 0.5000 0.5000 0.0000
Si1 0.0000 0.5000 0.2500
Si2 0.0000 0.5000 0.7500
Si3 0.5000 0.0000 0.2500
Si4 0.5000 0.0000 0.7500

# 11
First-principles (PBE-GGA) data for a geometry-optimized Zr3CoSi3 structure, as listed in Alexandria.

Summary:
Its uncorrected formation energy is -0.910 eV/atom. As for the space group: C2/m. The value obtained for the density of states at the Fermi level is 8.7 states/eV/cell. As for the total moment: 0.00 μB per formula unit. The value obtained for the total energy is -7.9130 eV per atom.

abc: 5.3516 5.3516 12.8747
angles: 109.08 109.08 42.27
Sites, in units of the cell vectors:
Zr1 0.0214 0.0214 0.3789
Zr2 0.1064 0.1064 0.9199
Zr3 0.2465 0.2465 0.2273
Zr4 0.7535 0.7535 0.7727
Zr5 0.8936 0.8936 0.0801
Zr6 0.9786 0.9786 0.6211
Co1 0.2607 0.2607 0.5871
Co2 0.7393 0.7393 0.4129
Si1 0.3670 0.3670 0.4521
Si2 0.3856 0.3856 0.9243
Si3 0.4594 0.4594 0.7615
Si4 0.5406 0.5406 0.2385
Si5 0.6144 0.6144 0.0757
Si6 0.6330 0.6330 0.5479

# 12
First-principles (PBE-GGA) data for a geometry-optimized ZrCo2Si structure, as listed in Alexandria.

Summary:
Its uncorrected formation energy is 0.024 eV/atom. As for the space group: R-3m. The value obtained for the density of states at the Fermi level is 15.3 states/eV/cell. As for the total moment: 0.87 μB per formula unit. The value obtained for the total energy is -7.0219 eV per atom.

abc: 2.8998 2.8998 23.3038
angles: 90.00 90.00 120.00
Sites, in units of the cell vectors:
Zr1 0.0000 0.0000 0.0000
Zr2 0.3333 0.6667 0.6667
Zr3 0.6667 0.3333 0.3333
Co1 0.0000 0.0000 0.2371
Co2 0.0000 0.0000 0.7629
Co3 0.3333 0.6667 0.4296
Co4 0.3333 0.6667 0.9038
Co5 0.6667 0.3333 0.0962
Co6 0.6667 0.3333 0.5704
Si1 0.0000 0.0000 0.5000
Si2 0.3333 0.6667 0.1667
Si3 0.6667 0.3333 0.8333